1.
Below is crystalline Tl3GaTe4 at its relaxed geometry, with properties calculated at the GGA-PBE level.

Cell and atoms, written as extended XYZ:
```
16
Lattice="11.6165 0.0000 0.0000 0.0000 7.2704 0.0000 0.0000 0.0000 7.1939" Properties=species:S:1:pos:R:3 pbc="T T T"
Tl 0.0000 1.6464 0.0000
Tl 2.8924 2.0710 3.3865
Tl 2.9158 5.1994 6.9834
Tl 5.8082 5.6240 3.5970
Tl 8.7007 5.1994 6.9834
Tl 8.7241 2.0710 3.3865
Ga 0.0000 5.9185 3.1643
Ga 5.8082 1.3519 6.7612
Te 0.0000 1.2476 3.7598
Te 0.0000 5.5514 0.5166
Te 2.4132 5.1079 3.9039
Te 3.3950 2.1625 0.3070
Te 5.8082 1.7190 4.1136
Te 5.8082 6.0228 0.1628
Te 8.2215 2.1625 0.3070
Te 9.2033 5.1079 3.9039
```

Properties
**ρ**: 6523 kg/m³
**ΔE_f (raw)**: -0.231 eV per atom

***

2.
Below is crystalline PaCd4Au2 at its relaxed geometry, with properties calculated at the GGA-PBE level.

Cell and atoms, written as extended XYZ:
```
7
Lattice="4.8014 0.0000 0.0000 0.0000 3.2705 0.0000 -2.3825 0.0000 9.5987" Properties=species:S:1:pos:R:3 pbc="T T T"
Pa 0.0000 0.0000 0.0000
Cd -0.0004 1.6353 2.9822
Cd 0.0122 0.0000 5.7178
Cd 2.4067 0.0000 3.8809
Cd 2.4193 1.6353 6.6165
Au 0.0228 1.6353 8.2034
Au 2.3961 1.6353 1.3953
```

Properties
**ρ**: 11839 kg/m³
**Energy relative to the elements**: -0.154 eV per atom

***

3.
Below is crystalline HoHfCd2 at its relaxed geometry, with properties calculated at the GGA-PBE level.

Cell and atoms, written as extended XYZ:
```
4
Lattice="0.0000 3.6043 3.6043 3.6043 0.0000 3.6043 3.6043 3.6043 0.0000" Properties=species:S:1:pos:R:3 pbc="T T T"
Ho 0.0000 0.0000 0.0000
Hf 3.6043 3.6043 3.6043
Cd 1.8021 1.8021 1.8021
Cd 5.4064 5.4064 5.4064
```

Properties
**ρ**: 10076 kg/m³
**Energy relative to the elements**: -0.056 eV per atom
**Relative energy among the computed polymorphs**: 29 meV/atom

***

4.
Below is crystalline KPb2Se at its relaxed geometry, with properties calculated at the GGA-PBE level.

Cell and atoms, written as extended XYZ:
```
4
Lattice="4.1273 0.0000 0.0000 0.0000 4.1273 0.0000 0.0000 0.0000 7.9378" Properties=species:S:1:pos:R:3 pbc="T T T"
K 0.0000 0.0000 0.0000
Pb 2.0637 2.0637 2.5109
Pb 2.0637 2.0637 5.4269
Se 0.0000 0.0000 3.9689
```

Properties
**ρ**: 6539 kg/m³
**ΔE_f (raw)**: -0.171 eV per atom

***

5.
Below is crystalline Ac4TbY2 at its relaxed geometry, with properties calculated at the GGA-PBE level.

Cell and atoms, written as extended XYZ:
```
14
Lattice="3.3772 -6.4295 0.0000 3.3772 6.4295 0.0000 -3.3768 0.0000 12.7608" Properties=species:S:1:pos:R:3 pbc="T T T"
Ac 1.6888 5.6689 6.3804
Ac 0.1335 2.2707 7.2977
Ac 0.1561 0.9783 10.8387
Ac 1.8219 -2.2707 0.9173
Ac 3.3613 2.4471 5.3732
Ac 1.8445 -0.9783 4.4583
Ac 1.6729 -2.4471 11.7535
Ac 3.3772 -5.6689 0.0000
Tb 1.8269 4.8136 2.6842
Tb 0.1385 -4.8136 9.0646
Y 1.5429 4.5333 9.9091
Y 3.2313 1.2844 1.8556
Y 1.5429 -1.2844 8.2359
Y 3.2313 -4.5333 3.5287
```

Properties
**ρ**: 7460 kg/m³
**Energy relative to the elements**: 0.114 eV per atom

***

6.
Below is crystalline NaBe3C at its relaxed geometry, with properties calculated at the GGA-PBE level.

Cell and atoms, written as extended XYZ:
```
5
Lattice="4.3195 0.0000 0.0000 0.0000 4.3195 0.0000 0.0000 0.0000 4.3195" Properties=species:S:1:pos:R:3 pbc="T T T"
Na 0.0000 0.0000 0.0000
Be 0.0000 0.0000 2.1598
Be 0.0000 2.1598 0.0000
Be 2.1598 0.0000 0.0000
C 2.1598 2.1598 2.1598
```

Properties
**ρ**: 1278 kg/m³
**Energy relative to the elements**: 3.023 eV per atom
**Relative energy among the computed polymorphs**: 2344 meV/atom

***

7.
Below is crystalline Li8TlO6 at its relaxed geometry, with properties calculated at the GGA-PBE level.

Cell and atoms, written as extended XYZ:
```
15
Lattice="2.8161 1.6259 5.3256 -2.8161 1.6259 5.3256 0.0000 -3.2517 5.3256" Properties=species:S:1:pos:R:3 pbc="T T T"
Li -1.9942 -0.0980 6.0671
Li 0.0000 0.0000 2.3869
Li -0.9122 -1.7761 9.9097
Li 1.0820 -1.6780 6.0672
Li -1.0820 1.6780 9.9097
Li 0.9122 1.7761 6.0671
Li 0.0000 0.0000 13.5900
Li 1.9942 0.0980 9.9097
Tl 0.0000 0.0000 7.9884
O -0.8379 -1.6142 6.6190
O -1.8169 -0.0815 9.3579
O -0.9790 1.5328 6.6190
O 0.9790 -1.5328 9.3579
O 1.8169 0.0815 6.6190
O 0.8379 1.6142 9.3579
```

Properties
**ρ**: 4040 kg/m³
**ΔE_f (raw)**: -1.544 eV per atom

***

8.
Below is crystalline Cs2Na2Bi3 at its relaxed geometry, with properties calculated at the GGA-PBE level.

Cell and atoms, written as extended XYZ:
```
7
Lattice="6.9926 -2.7732 0.0000 6.9926 2.7732 0.0000 -4.2847 0.0000 7.4150" Properties=species:S:1:pos:R:3 pbc="T T T"
Cs 0.8945 0.0000 2.2402
Cs 8.8061 0.0000 5.1748
Na -1.4123 0.0000 5.7755
Na 11.1128 0.0000 1.6396
Bi 5.5396 0.0000 0.4753
Bi 4.8503 0.0000 3.7075
Bi 4.1610 0.0000 6.9397
```

Properties
**ρ**: 5420 kg/m³
**Energy relative to the elements**: -0.326 eV per atom

***

| no. | total magnetic moment (μB/f.u.) | E (eV/atom) | calculated volume (Å³/f.u.) |
| --- | --- | --- | --- |
| 1 | 0.00 | -3.067 | 304 |
| 2 | 1.11 | -2.970 | 151 |
| 3 | 0.82 | -4.147 | 94 |
| 4 | 0.00 | -3.171 | 135 |
| 5 | 0.00 | -4.742 | 277 |
| 6 | 0.00 | -1.321 | 81 |
| 7 | 1.08 | -4.706 | 146 |
| 8 | 0.00 | -2.610 | 288 |